Record 1
TmNbPt2 | PBE | relaxed

Values from the calculation:
Formation energy, eV/atom: -0.77

Unit cell a=3.1420 b=3.1420 c=7.4921 alpha=90.00 beta=90.00 gamma=90.00
Space group P4/mmm (No. 123)
One atom of each set of equivalent atoms:
Tm 0.0000 0.0000 0.0000
Nb 0.0000 0.0000 0.5000
Pt 0.5000 0.5000 0.2661



Record 2
Mn2CoBr | PBE | relaxed

Values from the calculation:
Energy above the lowest structure with this stoichiometry, meV/atom: 578
Energy relative to the elements, uncorrected, eV/atom: 0.802

Unit cell a=6.4740 b=6.4740 c=7.0672 alpha=90.00 beta=90.00 gamma=90.00
Space group I-42d (No. 122)
One atom of each set of equivalent atoms:
Mn 0.2158 0.7500 0.1250
Co 0.0000 0.0000 0.0000
Br 0.0000 0.0000 0.5000



Record 3
Nd3AlN | PBE | relaxed

Values from the calculation:
Energy relative to the elements, uncorrected, eV/atom: -0.749

Unit cell a=4.9987 b=4.9987 c=4.9987 alpha=90.00 beta=90.00 gamma=90.00
Space group Pm-3m (No. 221)
One atom of each set of equivalent atoms:
Nd 0.0000 0.0000 0.5000
Al 0.5000 0.5000 0.5000
N 0.0000 0.0000 0.0000



Record 4
AcSmIr4 | PBE | relaxed

Values from the calculation:
Formation energy, eV/atom: -0.63

Unit cell a=7.7679 b=7.7679 c=7.7679 alpha=90.00 beta=90.00 gamma=90.00
Space group F-43m (No. 216)
One atom of each set of equivalent atoms:
Ac 0.0000 0.0000 0.0000
Sm 0.2500 0.2500 0.2500
Ir 0.1246 0.1246 0.6246



Record 5
Sc3Cu4 | PBE | relaxed

Values from the calculation:
Energy above the lowest structure with this stoichiometry, meV/atom: 455
Formation energy, eV/atom: 0.26

Unit cell a=5.7633 b=5.7633 c=4.5164 alpha=90.00 beta=90.00 gamma=120.00
Space group P6/mmm (No. 191)
One atom of each set of equivalent atoms:
Sc 0.0000 0.5000 0.0000
Cu 0.0000 0.0000 0.2516
Cu 0.3333 0.6667 0.5000



Record 6
Ni2MoRh | PBE | relaxed

Values from the calculation:
Energy above the lowest structure with this stoichiometry, meV/atom: 105
Formation energy, eV/atom: -0.02

Unit cell a=2.6662 b=3.7362 c=5.2040 alpha=90.00 beta=90.00 gamma=90.00
Space group Pmmm (No. 47)
One atom of each set of equivalent atoms:
Ni 0.0000 0.0000 0.2459
Mo 0.5000 0.5000 0.0000
Rh 0.5000 0.5000 0.5000



Record 7
Ca2ErPbSe4 | PBE | relaxed

Values from the calculation:
Energy relative to the elements, uncorrected, eV/atom: -1.513

Unit cell a=7.2784 b=4.1965 c=7.3687 alpha=90.00 beta=109.37 gamma=90.00
Space group P2/m (No. 10)
One atom of each set of equivalent atoms:
Ca 0.0000 0.0000 0.0000
Ca 0.0000 0.5000 0.5000
Er 0.5000 0.0000 0.5000
Pb 0.5000 0.5000 0.0000
Se 0.2469 0.0000 0.7351
Se 0.2541 0.5000 0.2618



Record 8
KTl4Pt2 | PBE | relaxed

Values from the calculation:
Energy above the lowest structure with this stoichiometry, meV/atom: 73
Formation energy, eV/atom: -0.07

Unit cell a=4.9683 b=16.0074 c=4.8361 alpha=90.00 beta=90.00 gamma=90.00
Space group Cmmm (No. 65)
One atom of each set of equivalent atoms:
K 0.0000 0.0000 0.0000
Tl 0.0000 0.1677 0.5000
Tl 0.0000 0.3259 0.0000
Pt 0.0000 0.4193 0.5000



Record 9
ZrTc2RhC | PBE | relaxed

Values from the calculation:
Formation energy, eV/atom: -0.30

Unit cell a=4.1559 b=4.1559 c=4.0998 alpha=90.00 beta=90.00 gamma=90.00
Space group P4/mmm (No. 123)
One atom of each set of equivalent atoms:
Zr 0.0000 0.0000 0.0000
Tc 0.0000 0.5000 0.5000
Rh 0.5000 0.5000 0.0000
C 0.5000 0.5000 0.5000



Record 10
HfAl2TeCl | PBE | relaxed

Values from the calculation:
Energy relative to the elements, uncorrected, eV/atom: 1.049

Unit cell a=5.2763 b=5.2763 c=5.1478 alpha=90.00 beta=90.00 gamma=90.00
Space group P4/mmm (No. 123)
One atom of each set of equivalent atoms:
Hf 0.0000 0.0000 0.0000
Al 0.0000 0.5000 0.5000
Te 0.5000 0.5000 0.5000
Cl 0.5000 0.5000 0.0000



Record 11
BiN | PBE | relaxed

Values from the calculation:
Energy relative to the elements, uncorrected, eV/atom: 0.966

Unit cell a=8.2653 b=8.2653 c=8.2653 alpha=90.00 beta=90.00 gamma=90.00
Space group I-43m (No. 217)
One atom of each set of equivalent atoms:
Bi 0.1405 0.1405 0.8595
N 0.1355 0.1355 0.1355



Record 12
CuRe2NiAs | PBE | relaxed

Values from the calculation:
Formation energy, eV/atom: 1.54

Unit cell a=4.4653 b=4.4653 c=4.2965 alpha=90.00 beta=90.00 gamma=90.00
Space group P4/mmm (No. 123)
One atom of each set of equivalent atoms:
Cu 0.0000 0.0000 0.0000
Re 0.0000 0.5000 0.5000
Ni 0.0000 0.0000 0.5000
As 0.5000 0.5000 0.0000